BeNiSnIr | PBE | optimized geometry

The structure in CIF format:
```
data_BeNiSnIr
_chemical_formula_sum 'Be4 Ni4 Sn4 Ir4'
_cell_length_a 6.0087
_cell_length_b 6.0087
_cell_length_c 6.0087
_cell_angle_alpha 90.00
_cell_angle_beta 90.00
_cell_angle_gamma 90.00
_space_group_name_H-M_alt 'P 1'
_space_group_IT_number 1
loop_
_space_group_symop_operation_xyz
'x,y,z'
loop_
_atom_site_label
_atom_site_fract_x
_atom_site_fract_y
_atom_site_fract_z
_atom_site_occupancy
Be1 0.0000 0.0000 0.0000 1
Be2 0.0000 0.5000 0.5000 1
Be3 0.5000 0.0000 0.5000 1
Be4 0.5000 0.5000 0.0000 1
Ni1 0.0000 0.0000 0.5000 1
Ni2 0.0000 0.5000 0.0000 1
Ni3 0.5000 0.0000 0.0000 1
Ni4 0.5000 0.5000 0.5000 1
Sn1 0.2500 0.2500 0.2500 1
Sn2 0.2500 0.7500 0.7500 1
Sn3 0.7500 0.2500 0.7500 1
Sn4 0.7500 0.7500 0.2500 1
Ir1 0.2500 0.2500 0.7500 1
Ir2 0.2500 0.7500 0.2500 1
Ir3 0.7500 0.2500 0.2500 1
Ir4 0.7500 0.7500 0.7500 1
```

---

BeTlNiIr | PBE | optimized geometry

The structure in CIF format:
```
data_BeTlNiIr
_chemical_formula_sum 'Be4 Tl4 Ni4 Ir4'
_cell_length_a 6.0550
_cell_length_b 6.0550
_cell_length_c 6.0550
_cell_angle_alpha 90.00
_cell_angle_beta 90.00
_cell_angle_gamma 90.00
_space_group_name_H-M_alt 'P 1'
_space_group_IT_number 1
loop_
_space_group_symop_operation_xyz
'x,y,z'
loop_
_atom_site_label
_atom_site_fract_x
_atom_site_fract_y
_atom_site_fract_z
_atom_site_occupancy
Be1 0.0000 0.0000 0.0000 1
Be2 0.0000 0.5000 0.5000 1
Be3 0.5000 0.0000 0.5000 1
Be4 0.5000 0.5000 0.0000 1
Tl1 0.2500 0.2500 0.2500 1
Tl2 0.2500 0.7500 0.7500 1
Tl3 0.7500 0.2500 0.7500 1
Tl4 0.7500 0.7500 0.2500 1
Ni1 0.0000 0.0000 0.5000 1
Ni2 0.0000 0.5000 0.0000 1
Ni3 0.5000 0.0000 0.0000 1
Ni4 0.5000 0.5000 0.5000 1
Ir1 0.2500 0.2500 0.7500 1
Ir2 0.2500 0.7500 0.2500 1
Ir3 0.7500 0.2500 0.2500 1
Ir4 0.7500 0.7500 0.7500 1
```

---

BeZnNiIr | PBE | optimized geometry

The structure in CIF format:
```
data_BeZnNiIr
_chemical_formula_sum 'Be4 Zn4 Ni4 Ir4'
_cell_length_a 5.7444
_cell_length_b 5.7444
_cell_length_c 5.7444
_cell_angle_alpha 90.00
_cell_angle_beta 90.00
_cell_angle_gamma 90.00
_space_group_name_H-M_alt 'P 1'
_space_group_IT_number 1
loop_
_space_group_symop_operation_xyz
'x,y,z'
loop_
_atom_site_label
_atom_site_fract_x
_atom_site_fract_y
_atom_site_fract_z
_atom_site_occupancy
Be1 0.0000 0.0000 0.0000 1
Be2 0.0000 0.5000 0.5000 1
Be3 0.5000 0.0000 0.5000 1
Be4 0.5000 0.5000 0.0000 1
Zn1 0.2500 0.2500 0.2500 1
Zn2 0.2500 0.7500 0.7500 1
Zn3 0.7500 0.2500 0.7500 1
Zn4 0.7500 0.7500 0.2500 1
Ni1 0.0000 0.0000 0.5000 1
Ni2 0.0000 0.5000 0.0000 1
Ni3 0.5000 0.0000 0.0000 1
Ni4 0.5000 0.5000 0.5000 1
Ir1 0.2500 0.2500 0.7500 1
Ir2 0.2500 0.7500 0.2500 1
Ir3 0.7500 0.2500 0.2500 1
Ir4 0.7500 0.7500 0.7500 1
```

---

no.,total magnetic moment (μB per formula unit),final energy (eV/atom)
1,0.01,-5.5077
2,0.00,-4.8286
3,0.00,-5.0060